(1)
First-principles (SCAN) data for a crystal of Bi3TeRu relaxed with PBEsol, as listed in Alexandria via LeMat-Bulk.

Results
**ρ**: 7754 kg/m3
**DOS at the Fermi energy**: 5.39 states/eV/f.u.
**Energy**: -59.92 eV per atom
**V**: 36.65 A^3/atom
**E_form (uncorrected)**: 1639 meV per atom
**Space group**: Pm-3m

abc: 5.680 5.680 5.680
angles: 90.00 90.00 90.00
Element x y z (fractional)
Bi 0.000 0.500 0.000
Ru 0.500 0.500 0.500
Bi 0.000 0.000 0.500
Te 0.000 0.000 0.000
Bi 0.500 0.000 0.000

---

(2)
First-principles (SCAN) data for a crystal of ZnBi3Ru relaxed with PBEsol, as listed in Alexandria via LeMat-Bulk.

Results
**ρ**: 9690 kg/m3
**DOS at the Fermi energy**: 3.46 states/eV/f.u.
**Energy**: -55.59 eV per atom
**V**: 27.19 A^3/atom
**Formation energy**: 1.225 eV/atom
**Space group**: Pm-3m

abc: 5.142 5.142 5.142
angles: 90.00 90.00 90.00
Element x y z (fractional)
Ru 0.500 0.500 0.500
Bi 0.000 0.000 0.500
Zn 0.000 0.000 0.000
Bi 0.500 0.000 0.000
Bi 0.000 0.500 0.000

---

(3)
First-principles (SCAN) data for a crystal of ZrBi3Ru relaxed with PBEsol, as listed in Alexandria via LeMat-Bulk.

Results
**ρ**: 9783 kg/m3
**DOS at the Fermi energy**: 5.08 states/eV/f.u.
**Energy**: -59.52 eV per atom
**V**: 27.81 A^3/atom
**Formation energy**: 0.729 eV/atom
**Space group**: Pm-3m

abc: 5.181 5.181 5.181
angles: 90.00 90.00 90.00
Element x y z (fractional)
Bi 0.500 0.000 0.000
Zr 0.500 0.500 0.500
Bi 0.000 0.000 0.500
Ru 0.000 0.000 0.000
Bi 0.000 0.500 0.000

---

(4)
First-principles (SCAN) data for a crystal of Zr3BiRu relaxed with PBEsol, as listed in Alexandria via LeMat-Bulk.

Results
**ρ**: 7968 kg/m3
**DOS at the Fermi energy**: 5.23 states/eV/f.u.
**Energy**: -41.20 eV per atom
**V**: 24.33 A^3/atom
**Formation energy**: -0.099 eV/atom
**Space group**: Pm-3m

abc: 4.955 4.955 4.955
angles: 90.00 90.00 90.00
Element x y z (fractional)
Bi 0.500 0.500 0.500
Ru 0.000 0.000 0.000
Zr 0.000 0.000 0.500
Zr 0.000 0.500 0.000
Zr 0.500 0.000 0.000

---

(5)
First-principles (SCAN) data for a crystal of BiS2 relaxed with PBEsol, as listed in Alexandria via LeMat-Bulk.

Results
**ρ**: 6555 kg/m3
**Energy**: -32.83 eV per atom
**V**: 23.06 A^3/atom
**E_form (uncorrected)**: -217 meV per atom
**Space group**: C2/m

abc: 3.988 8.123 9.088
angles: 80.86 77.32 75.79
Element x y z (fractional)
S 0.036 0.875 0.052
Bi 0.708 0.699 0.886
S 0.964 0.125 0.948
S 0.347 0.469 0.837
S 0.785 0.082 0.347
Bi 0.292 0.301 0.114
S 0.923 0.622 0.531
Bi 0.600 0.172 0.628
S 0.653 0.531 0.163
S 0.077 0.378 0.469
Bi 0.400 0.828 0.372
S 0.215 0.918 0.653

---

(6)
First-principles (SCAN) data for a crystal of BiSb2S relaxed with PBEsol, as listed in Alexandria via LeMat-Bulk.

Results
**ρ**: 8302 kg/m3
**DOS at the Fermi energy**: 1.97 states/eV/f.u.
**Energy**: -40.38 eV per atom
**V**: 24.23 A^3/atom
**E_form (uncorrected)**: 307 meV per atom
**Space group**: Fm-3m

abc: 5.156 5.156 5.156
angles: 60.00 60.00 60.00
Element x y z (fractional)
S 0.000 0.000 0.000
Bi 0.500 0.500 0.500
Sb 0.750 0.750 0.750
Sb 0.250 0.250 0.250

---

(7)
First-principles (SCAN) data for a crystal of Sc2BiS2 relaxed with PBEsol, as listed in Alexandria via LeMat-Bulk.

Results
**ρ**: 5282 kg/m3
**DOS at the Fermi energy**: 1.84 states/eV/f.u.
**Energy**: -26.49 eV per atom
**V**: 22.83 A^3/atom
**E_form (uncorrected)**: -1228 meV per atom
**Space group**: I4/mmm

abc: 4.223 4.223 7.062
angles: 107.40 107.40 90.00
Element x y z (fractional)
Sc 0.355 0.355 0.709
Sc 0.645 0.645 0.291
S 0.250 0.750 0.500
S 0.750 0.250 0.500
Bi 0.000 0.000 0.000

---

(8)
First-principles (SCAN) data for a crystal of ScBi3S relaxed with PBEsol, as listed in Alexandria via LeMat-Bulk.

Results
**ρ**: 7250 kg/m3
**DOS at the Fermi energy**: 3.33 states/eV/f.u.
**Energy**: -51.42 eV per atom
**V**: 32.25 A^3/atom
**E_form (uncorrected)**: 503 meV per atom
**Space group**: Pm-3m

abc: 5.443 5.443 5.443
angles: 90.00 90.00 90.00
Element x y z (fractional)
S 0.500 0.500 0.500
Bi 0.000 0.500 0.000
Bi 0.000 0.000 0.500
Bi 0.500 0.000 0.000
Sc 0.000 0.000 0.000

---

(9)
First-principles (SCAN) data for a crystal of BiSeS3 relaxed with PBEsol, as listed in Alexandria via LeMat-Bulk.

Results
**ρ**: 6026 kg/m3
**DOS at the Fermi energy**: 2.59 states/eV/f.u.
**Energy**: -25.08 eV per atom
**V**: 21.17 A^3/atom
**E_form (uncorrected)**: 430 meV per atom
**Space group**: Pm-3m

abc: 4.730 4.730 4.730
angles: 90.00 90.00 90.00
Element x y z (fractional)
S 0.000 0.000 0.500
Se 0.000 0.000 0.000
S 0.000 0.500 0.000
Bi 0.500 0.500 0.500
S 0.500 0.000 0.000

---

(10)
First-principles (SCAN) data for a crystal of BiSeS2 relaxed with PBEsol, as listed in Alexandria via LeMat-Bulk.

Results
**ρ**: 6604 kg/m3
**DOS at the Fermi energy**: 2.16 states/eV/f.u.
**Energy**: -29.19 eV per atom
**V**: 22.13 A^3/atom
**E_form (uncorrected)**: 292 meV per atom
**Energy above the lowest structure with this stoichiometry**: 0 meV per atom
**Space group**: I-42d

abc: 6.139 6.139 6.139
angles: 107.04 107.04 114.45
Element x y z (fractional)
Se 0.750 0.250 0.500
Se 0.500 0.500 0.000
Bi 0.000 0.000 0.000
Bi 0.250 0.750 0.500
S 0.125 0.610 0.985
S 0.625 0.140 0.015
S 0.860 0.875 0.485
S 0.390 0.375 0.515

---

(11)
First-principles (SCAN) data for a crystal of Bi4Se3S3 relaxed with PBEsol, as listed in Alexandria via LeMat-Bulk.

Results
**ρ**: 7566 kg/m3
**Energy**: -40.63 eV per atom
**V**: 25.66 A^3/atom
**E_form (uncorrected)**: -284 meV per atom
**Space group**: Pmc2_1

abc: 4.044 11.177 11.352
angles: 90.00 90.00 90.00
Element x y z (fractional)
Bi 0.500 0.212 0.668
Se 0.500 0.545 0.774
S 0.000 0.300 0.880
S 0.000 0.054 0.718
Se 0.500 0.884 0.944
S 0.000 0.700 0.380
Bi 0.500 0.413 0.994
Se 0.000 0.616 0.054
Bi 0.500 0.788 0.168
Se 0.500 0.116 0.444
S 0.500 0.808 0.625
Bi 0.000 0.714 0.831
Bi 0.000 0.077 0.012
S 0.500 0.192 0.125
Bi 0.500 0.587 0.494
Bi 0.000 0.286 0.331
Se 0.000 0.384 0.554
Bi 0.000 0.923 0.512
Se 0.500 0.455 0.274
S 0.000 0.946 0.218

---

(12)
First-principles (SCAN) data for a crystal of BiSeS2 relaxed with PBEsol, as listed in Alexandria via LeMat-Bulk.

Results
**ρ**: 6056 kg/m3
**DOS at the Fermi energy**: 2.06 states/eV/f.u.
**Energy**: -29.11 eV per atom
**V**: 24.13 A^3/atom
**E_form (uncorrected)**: 373 meV per atom
**Energy above the lowest structure with this stoichiometry**: 82 meV per atom
**Space group**: R-3m

abc: 3.594 3.594 8.876
angles: 78.32 78.32 60.00
Element x y z (fractional)
S 0.108 0.108 0.675
Se 0.500 0.500 0.500
Bi 0.000 0.000 0.000
S 0.892 0.892 0.325